DFT (PBEsol) results for a relaxed LaMg4Sc crystal.

a b c (Å): 5.966 5.966 5.966
angles (deg): 60.00 60.00 60.00
Positions (direct):
La 0.000 0.000 0.000
Mg 0.127 0.624 0.624
Mg 0.624 0.127 0.624
Mg 0.624 0.624 0.127
Mg 0.624 0.624 0.624
Sc 0.250 0.250 0.250

Values from the calculation:
- size of the total moment (μB/cell) = 0.0
- calculated total energy (eV/atom) = -3.169
- space-group type = F-43m, No. 216
- energy of formation (eV per formula unit) = -0.2